(1)
# YInNi

Crystalline YInNi at its relaxed geometry (GGA-PBE, Alexandria via LeMat-Bulk).

Lattice parameters (Å, degrees): 4.5803 4.5803 4.5803 60.00 60.00 60.00
Element x y z (fractional)
Y  0.0000  0.0000  0.0000
In  0.5000  0.5000  0.5000
Ni  0.7500  0.7500  0.7500

Summary:
The spin magnetization comes out at 0.000 Bohr magnetons per cell. For the formation energy, the calculation gives -0.35 eV/atom. As for the total energy: -5.34 eV/atom.



(2)
# Y2InNi9

Crystalline Y2InNi9 at its relaxed geometry (GGA-PBE, Alexandria via LeMat-Bulk).

Lattice parameters (Å, degrees): 8.5917 8.5917 8.5917 33.36 33.36 33.36
Element x y z (fractional)
Y  0.1363  0.1363  0.1363
Y  0.8637  0.8637  0.8637
In  0.0000  0.0000  0.0000
Ni  0.0810  0.5824  0.5824
Ni  0.3330  0.3330  0.3330
Ni  0.4176  0.4176  0.9190
Ni  0.4176  0.9190  0.4176
Ni  0.5000  0.5000  0.5000
Ni  0.5824  0.0810  0.5824
Ni  0.5824  0.5824  0.0810
Ni  0.6670  0.6670  0.6670
Ni  0.9190  0.4176  0.4176

Summary:
The spin magnetization comes out at 1.230 Bohr magnetons per cell. For the formation energy, the calculation gives -0.25 eV/atom. As for the total energy: -5.89 eV/atom.



(3)
# Y4InNi2

Crystalline Y4InNi2 at its relaxed geometry (GGA-PBE, Alexandria via LeMat-Bulk).

Lattice parameters (Å, degrees): 6.8676 6.9538 8.3536 107.72 105.89 104.52
Element x y z (fractional)
Y  0.0000  0.0000  0.0000
Y  0.0169  0.4099  0.8021
Y  0.2567  0.7976  0.6416
Y  0.3474  0.5400  0.2405
Y  0.4457  0.1439  0.4401
Y  0.5619  0.5090  0.8615
Y  0.8035  0.3907  0.2254
Y  0.8887  0.9686  0.3863
In  0.4567  0.9035  0.0596
In  0.7320  0.6893  0.5993
Ni  0.0663  0.7365  0.1819
Ni  0.1822  0.3707  0.4785
Ni  0.3578  0.2066  0.9509
Ni  0.6559  0.1160  0.8005

Summary:
The spin magnetization comes out at 0.000 Bohr magnetons per cell. For the formation energy, the calculation gives -0.32 eV/atom. As for the total energy: -6.06 eV/atom.